No. 1
Crystalline CsTe2O6 at its relaxed geometry, computed with GGA-PBEsol.

Lattice parameters (Å, degrees): 10.454 10.454 10.454 90.00 90.00 90.00
Space group Fd-3m (No. 227, origin choice 2)
Inequivalent atoms, fractional coordinates:
Cs: 0.125 0.125 0.125 [8 per cell]
Te: 0.000 0.000 0.500 [16 per cell]
O: 0.069 0.375 0.875 [48 per cell]

Computed properties:
ΔE_f (raw) (eV/atom): -1.232
Final energy (eV per atom): -5.620

---

No. 2
Crystalline Cs2TeO4 at its relaxed geometry, computed with GGA-PBEsol.

Lattice parameters (Å, degrees): 8.506 6.671 11.562 90.00 90.00 90.00
Space group Pnma (No. 62)
Inequivalent atoms, fractional coordinates:
Cs: 0.004 0.250 0.213 [4 per cell]
Cs: 0.170 0.250 0.578 [4 per cell]
Te: 0.218 0.250 0.918 [4 per cell]
O: 0.004 0.250 0.937 [4 per cell]
O: 0.181 0.750 0.560 [4 per cell]
O: 0.221 0.525 0.338 [8 per cell]

Computed properties:
ΔE_f (raw) (eV/atom): -1.398
Final energy (eV per atom): -5.171

---

No. 3
Crystalline CsVTeO6 at its relaxed geometry, computed with GGA-PBEsol.

Lattice parameters (Å, degrees): 7.010 7.187 10.040 90.00 90.00 90.00
Space group Imma (No. 74)
Inequivalent atoms, fractional coordinates:
Cs: 0.000 0.250 0.112 [4 per cell]
V: 0.250 0.250 0.750 [4 per cell]
Te: 0.000 0.000 0.500 [4 per cell]
O: 0.000 0.250 0.420 [4 per cell]
O: 0.000 0.250 0.798 [4 per cell]
O: 0.199 0.063 0.623 [16 per cell]

Computed properties:
ΔE_f (raw) (eV/atom): -1.732
Final energy (eV per atom): -6.798

---

No. 4
Crystalline CsV3Te2O12 at its relaxed geometry, computed with GGA-PBEsol.

Lattice parameters (Å, degrees): 7.1380 7.1380 11.4744 90.00 90.00 120.00
Space group P6_3 (No. 173)
Inequivalent atoms, fractional coordinates:
Cs: 0.3333 0.6667 0.0000 [2 per cell]
V: 0.1266 0.3335 0.6708 [6 per cell]
Te: 0.0000 0.0000 0.4107 [2 per cell]
Te: 0.3333 0.6667 0.4240 [2 per cell]
O: 0.0836 0.5412 0.6880 [6 per cell]
O: 0.1203 0.8732 0.1392 [6 per cell]
O: 0.1237 0.8572 0.8252 [6 per cell]
O: 0.1882 0.7913 0.5016 [6 per cell]

Computed properties:
ΔE_f (raw) (eV/atom): -1.896
Final energy (eV per atom): -7.446

---

No. 5
Crystalline Cs6Ti2O7 at its relaxed geometry, computed with GGA-PBEsol.

Lattice parameters (Å, degrees): 7.120 9.906 12.049 90.00 124.16 90.00
Space group P2_1/c (No. 14)
Inequivalent atoms, fractional coordinates:
Cs: 0.039 0.150 0.421 [4 per cell]
Cs: 0.203 0.526 0.450 [4 per cell]
Cs: 0.400 0.214 0.279 [4 per cell]
Ti: 0.321 0.636 0.872 [4 per cell]
O: 0.064 0.663 0.866 [4 per cell]
O: 0.257 0.588 0.709 [4 per cell]
O: 0.493 0.713 0.426 [4 per cell]
O: 0.500 0.000 0.500 [2 per cell]

Computed properties:
ΔE_f (raw) (eV/atom): -2.212
Final energy (eV per atom): -6.148

---

No. 6
Crystalline Cs2TiW3O12 at its relaxed geometry, computed with GGA-PBEsol.

Lattice parameters (Å, degrees): 7.2941 7.2941 17.7154 90.00 90.00 120.00
Space group R-3m (No. 166, hexagonal axes)
Inequivalent atoms, fractional coordinates:
Cs: 0.0000 0.0000 0.1308 [6 per cell]
Ti: 0.0000 0.0000 0.5000 [3 per cell]
W: 0.0000 0.5000 0.0000 [9 per cell]
O: 0.0856 0.5428 0.1017 [18 per cell]
O: 0.0871 0.5435 0.3547 [18 per cell]

Computed properties:
ΔE_f (raw) (eV/atom): -2.368
Final energy (eV per atom): -8.736

---

No. 7
Crystalline Cs8Tl8O at its relaxed geometry, computed with GGA-PBEsol.

Lattice parameters (Å, degrees): 8.9003 8.9003 31.6079 90.00 90.00 120.00
Space group R-3 (No. 148, hexagonal axes)
Inequivalent atoms, fractional coordinates:
Cs: 0.0000 0.0000 0.1731 [6 per cell]
Cs: 0.0282 0.5802 0.6179 [18 per cell]
Tl: 0.0000 0.0000 0.3807 [6 per cell]
Tl: 0.0070 0.2141 0.5395 [18 per cell]
O: 0.0000 0.0000 0.0000 [3 per cell]

Computed properties:
ΔE_f (raw) (eV/atom): -0.311
Final energy (eV per atom): -2.301

---

No. 8
Crystalline Cs4Tl2O at its relaxed geometry, computed with GGA-PBEsol.

Lattice parameters (Å, degrees): 11.9352 11.9352 20.2237 90.00 90.00 120.00
Space group R-3m (No. 166, hexagonal axes)
Inequivalent atoms, fractional coordinates:
Cs: 0.1032 0.2063 0.4139 [18 per cell]
Cs: 0.1104 0.2208 0.7583 [18 per cell]
Tl: 0.0898 0.1797 0.0640 [18 per cell]
O: 0.0000 0.0000 0.3218 [6 per cell]
O: 0.0000 0.0000 0.5000 [3 per cell]

Computed properties:
ΔE_f (raw) (eV/atom): -0.528
Final energy (eV per atom): -2.568

---

No. 9
Crystalline CsTlO2 at its relaxed geometry, computed with GGA-PBEsol.

Lattice parameters (Å, degrees): 6.528 6.528 8.066 90.00 90.00 90.00
Space group I-42d (No. 122)
Inequivalent atoms, fractional coordinates:
Cs: 0.000 0.000 0.000 [4 per cell]
Tl: 0.000 0.000 0.500 [4 per cell]
O: 0.153 0.250 0.625 [8 per cell]

Computed properties:
ΔE_f (raw) (eV/atom): -0.978
Final energy (eV per atom): -4.495

---

No. 10
Crystalline CsTlO2 at its relaxed geometry, computed with GGA-PBEsol.

Lattice parameters (Å, degrees): 3.5404 3.5404 13.1983 90.00 90.00 120.00
Space group P6_3/mmc (No. 194)
Inequivalent atoms, fractional coordinates:
Cs: 0.3333 0.6667 0.2500 [2 per cell]
Tl: 0.0000 0.0000 0.0000 [2 per cell]
O: 0.3333 0.6667 0.5874 [4 per cell]

Computed properties:
ΔE_f (raw) (eV/atom): -0.976
Final energy (eV per atom): -4.494

---

No. 11
Crystalline Cs3TmO3 at its relaxed geometry, computed with GGA-PBEsol.

Lattice parameters (Å, degrees): 8.017 7.458 11.990 90.00 95.13 90.00
Space group P2_1/c (No. 14)
Inequivalent atoms, fractional coordinates:
Cs: 0.059 0.123 0.157 [4 per cell]
Cs: 0.351 0.158 0.923 [4 per cell]
Cs: 0.381 0.680 0.810 [4 per cell]
Tm: 0.154 0.589 0.070 [4 per cell]
O: 0.109 0.053 0.415 [4 per cell]
O: 0.244 0.653 0.550 [4 per cell]
O: 0.292 0.048 0.697 [4 per cell]

Computed properties:
ΔE_f (raw) (eV/atom): -1.997
Final energy (eV per atom): -5.350

---

No. 12
Crystalline Cs3TmO3 at its relaxed geometry, computed with GGA-PBEsol.

Lattice parameters (Å, degrees): 7.782 12.553 7.514 90.00 101.30 90.00
Space group C2/m (No. 12)
Inequivalent atoms, fractional coordinates:
Cs: 0.000 0.211 0.000 [4 per cell]
Cs: 0.000 0.263 0.500 [4 per cell]
Cs: 0.143 0.500 0.852 [4 per cell]
Tm: 0.170 0.000 0.652 [4 per cell]
O: 0.106 0.000 0.362 [4 per cell]
O: 0.203 0.364 0.232 [8 per cell]

Computed properties:
ΔE_f (raw) (eV/atom): -1.985
Final energy (eV per atom): -5.338

---

No. 13
Crystalline CsTmW2O8 at its relaxed geometry, computed with GGA-PBEsol.

Lattice parameters (Å, degrees): 10.740 10.476 7.476 90.00 130.35 90.00
Space group C2/c (No. 15)
Inequivalent atoms, fractional coordinates:
Cs: 0.000 0.198 0.250 [4 per cell]
Tm: 0.000 0.226 0.750 [4 per cell]
W: 0.194 0.496 0.723 [8 per cell]
O: 0.019 0.390 0.962 [8 per cell]
O: 0.135 0.088 0.704 [8 per cell]
O: 0.186 0.434 0.437 [8 per cell]
O: 0.214 0.155 0.121 [8 per cell]

Computed properties:
ΔE_f (raw) (eV/atom): -2.546
Final energy (eV per atom): -8.834

---

No. 14
Crystalline CsTmW2O8 at its relaxed geometry, computed with GGA-PBEsol.

Lattice parameters (Å, degrees): 5.9787 5.9787 8.0747 90.00 90.00 120.00
Space group P-3m1 (No. 164)
Inequivalent atoms, fractional coordinates:
Cs: 0.0000 0.0000 0.0000 [1 per cell]
Tm: 0.0000 0.0000 0.5000 [1 per cell]
W: 0.3333 0.6667 0.2656 [2 per cell]
O: 0.1685 0.3370 0.3361 [6 per cell]
O: 0.3333 0.6667 0.0485 [2 per cell]

Computed properties:
ΔE_f (raw) (eV/atom): -2.515
Final energy (eV per atom): -8.803

---

No. 15
Crystalline Cs2U2O7 at its relaxed geometry, computed with GGA-PBEsol.

Lattice parameters (Å, degrees): 14.465 4.286 7.527 90.00 113.18 90.00
Space group C2/m (No. 12)
Inequivalent atoms, fractional coordinates:
Cs: 0.104 0.000 0.422 [4 per cell]
U: 0.147 0.500 0.992 [4 per cell]
O: 0.000 0.500 0.000 [2 per cell]
O: 0.088 0.500 0.722 [4 per cell]
O: 0.192 0.000 0.996 [4 per cell]
O: 0.199 0.500 0.262 [4 per cell]

Computed properties:
ΔE_f (raw) (eV/atom): -2.807
Final energy (eV per atom): -8.529